{
  "formula": "Ca2VMo",
  "functional": "PBE",
  "state": "optimized geometry",
  "sg": "I-42d, No. 122",
  "volume_a3_per_cell": 197.3,
  "formation_energy_ev_per_atom": 1.237,
  "total_magnetization_mub_per_fu": 0.606,
  "cell": [[-3.139, 1.230, -7.485], [6.853, -3.014, -3.369], [0.697, -3.580, -5.382]],
  "species": ["Mo", "Mo", "Ca", "Ca", "Ca", "Ca", "V", "V"],
  "fractional_positions": [[0.000, 0.000, 0.000], [0.750, 0.250, 0.500], [0.623, 0.125, 0.250], [0.127, 0.625, 0.250], [0.375, 0.377, 0.750], [0.875, 0.873, 0.750], [0.500, 0.500, 0.000], [0.250, 0.750, 0.500]]
}

=====

{
  "formula": "TbPt4Rh",
  "functional": "PBE",
  "state": "optimized geometry",
  "sg": "F-43m, No. 216",
  "volume_a3_per_cell": 106.2,
  "formation_energy_ev_per_atom": -0.535,
  "total_magnetization_mub_per_fu": 0.766,
  "cell": [[5.316, 0.000, 0.000], [2.658, 4.604, 0.000], [2.658, 1.535, 4.340]],
  "species": ["Rh", "Tb", "Pt", "Pt", "Pt", "Pt"],
  "fractional_positions": [[0.250, 0.250, 0.250], [0.000, 0.000, 0.000], [0.624, 0.624, 0.127], [0.624, 0.127, 0.624], [0.624, 0.624, 0.624], [0.127, 0.624, 0.624]]
}